Mn2FeOsO8 | GGA+U | relaxed

Lattice parameters (Å, degrees): 4.5049 6.1130 4.5245 90.00 90.37 90.00
Space group P2/m (No. 10)
Inequivalent atoms, fractional coordinates:
Mn  0.0000  0.2420  0.0000
Fe  0.5000  0.0000  0.5000
Os  0.5000  0.5000  0.5000
O  0.1987  0.0000  0.1933
O  0.2058  0.5000  0.2008
O  0.3034  0.2548  0.6898

Properties
Size of the total moment, Bohr magnetons per cell: 8.1
VASP energy, eV/atom: -7.08
ρ, kg/m3: 6450